(1)
A plane-wave DFT calculation with PBE-GGA was carried out for a relaxed Sm8P3CSe3 crystal.

Properties
- Total DFT energy (no corrections): -95.16 eV for the cell shown
- Calculated volume: 391.37 Å³ per cell
- Space group: R-3m (166)
- ρ: 6.6 g cm⁻³
- Formation energy without anion corrections: -1.43 eV per atom

a = 8.130 Å, b = 8.129 Å, c = 8.294 Å
α = 119.35°, β = 90.00°, γ = 120.00°
Last column: magnetic moment on the atom in μB.
Atoms (fractional coordinates):
1 P 0.000 0.500 0.500  0.00
2 P 0.500 0.500 0.500  0.00
3 Se 0.000 0.500 0.000  0.00
4 Sm 0.743 0.486 0.729  0.00
5 Sm 0.775 0.551 0.286  0.07
6 Se 0.000 0.000 0.000  0.00
7 Sm 0.765 0.989 0.714  0.07
8 Se 0.500 0.500 0.000  0.00
9 C 0.000 0.000 0.500  -0.02
10 Sm 0.225 0.989 0.714  0.07
11 Sm 0.775 0.011 0.286  0.07
12 Sm 0.225 0.449 0.714  0.07
13 P 0.500 0.000 0.500  0.00
14 Sm 0.235 0.011 0.286  0.07
15 Sm 0.257 0.514 0.271  0.00

=====

(2)
A plane-wave DFT calculation with PBE-GGA was carried out for a relaxed ZnPbS crystal.

Properties
- Total DFT energy (no corrections): -19.35 eV for the cell shown
- Calculated volume: 140.66 Å³ per cell
- Space group: Cm (8)
- ρ: 7.2 g cm⁻³
- Formation energy without anion corrections: -0.19 eV per atom

a = 6.050 Å, b = 6.050 Å, c = 8.505 Å
α = 53.75°, β = 53.75°, γ = 35.18°
Atoms (fractional coordinates):
1 Pb 0.087 0.087 0.234
2 Pb 0.834 0.834 0.768
3 Zn 0.637 0.637 0.482
4 Zn 0.062 0.062 0.902
5 S 0.399 0.399 0.996
6 S 0.240 0.240 0.539

=====

(3)
A plane-wave DFT calculation with PBE-GGA was carried out for a relaxed CaO2F2 crystal.

Properties
- Total DFT energy (no corrections): -20.93 eV for the cell shown
- Calculated volume: 94.75 Å³ per cell
- Space group: P4/mmm (123)
- ρ: 1.9 g cm⁻³
- Formation energy without anion corrections: -1.05 eV per atom

a = 4.386 Å, b = 4.386 Å, c = 4.924 Å
α = 90.00°, β = 90.00°, γ = 90.00°
Last column: magnetic moment on the atom in μB.
Atoms (fractional coordinates):
1 F 0.500 0.000 0.000  0.14
2 O 0.000 0.000 0.500  1.30
3 O 0.500 0.500 0.500  1.66
4 F 0.000 0.500 0.000  0.14
5 Ca 0.000 0.000 0.000  -0.01

=====

(4)
A plane-wave DFT calculation with PBE-GGA was carried out for a relaxed DyThSe crystal.

Properties
- Total DFT energy (no corrections): -17.98 eV for the cell shown
- Calculated volume: 82.65 Å³ per cell
- Space group: I4mm (107)
- ρ: 9.5 g cm⁻³
- Polymorph energy (0 for the lowest one): 109 meV per atom
- Formation energy without anion corrections: -0.82 eV per atom

a = 3.626 Å, b = 3.626 Å, c = 6.789 Å
α = 105.49°, β = 105.49°, γ = 90.00°
Atoms (fractional coordinates):
1 Dy 0.693 0.693 0.385
2 Se 0.329 0.329 0.658
3 Th 0.978 0.978 0.956

=====

Copy entry 2 word for word.
A plane-wave DFT calculation with PBE-GGA was carried out for a relaxed ZnPbS crystal.

Properties
- Total DFT energy (no corrections): -19.35 eV for the cell shown
- Calculated volume: 140.66 Å³ per cell
- Space group: Cm (8)
- ρ: 7.2 g cm⁻³
- Formation energy without anion corrections: -0.19 eV per atom

a = 6.050 Å, b = 6.050 Å, c = 8.505 Å
α = 53.75°, β = 53.75°, γ = 35.18°
Atoms (fractional coordinates):
1 Pb 0.087 0.087 0.234
2 Pb 0.834 0.834 0.768
3 Zn 0.637 0.637 0.482
4 Zn 0.062 0.062 0.902
5 S 0.399 0.399 0.996
6 S 0.240 0.240 0.539